Here is a relaxed TlCuAs2 crystal from Alexandria via LeMat-Bulk. Energies are from PBE.

The structure in POSCAR format:
```
TlCuAs2
1.0
3.8842 0.0000 0.0000
0.0000 3.8842 0.0000
0.0000 0.0000 11.0324
Tl Cu As
2 2 4
direct
0.0000 0.0000 0.0000
0.5000 0.5000 0.5000
0.0000 0.0000 0.5000
0.5000 0.5000 0.0000
0.0000 0.5000 0.2500
0.0000 0.5000 0.7500
0.5000 0.0000 0.2500
0.5000 0.0000 0.7500
```

Output
Raw total energy   -3.551 eV per atom
SG   No. 139
E_form   390 meV/atom
E above lowest polymorph   361 meV per atom
Magnetization   0.00 μB per cell

=====

Here is a relaxed TlCuAs2 crystal from Alexandria via LeMat-Bulk. Energies are from PBE.

The structure in POSCAR format:
```
TlCuAs2
1.0
4.3942 0.0000 0.0000
0.0000 3.9155 0.0000
-1.5162 0.0000 5.3875
Tl Cu As
1 1 2
direct
0.0000 0.0000 0.0000
0.5000 0.0000 0.5000
0.2686 0.5000 0.6440
0.7314 0.5000 0.3560
```

Output
Raw total energy   -3.911 eV per atom
SG   No. 10
E_form   29 meV/atom
E above lowest polymorph   0 meV per atom
Magnetization   0.00 μB per cell

=====

Here is a relaxed TlCu2As crystal from Alexandria via LeMat-Bulk. Energies are from PBE.

The structure in POSCAR format:
```
TlCu2As
1.0
3.1933 0.0000 0.0000
0.0000 3.9012 0.0000
0.0000 0.0000 12.6569
Tl Cu As
2 4 2
direct
0.0000 0.0000 0.0000
0.5000 0.5000 0.5000
0.0000 0.0000 0.6121
0.0000 0.5000 0.7469
0.5000 0.0000 0.2469
0.5000 0.5000 0.1121
0.0000 0.5000 0.2663
0.5000 0.0000 0.7663
```

Output
Raw total energy   -3.622 eV per atom
SG   No. 44
E_form   180 meV/atom
Magnetization   0.00 μB per cell

=====

Here is a relaxed TlCuAs2 crystal from Alexandria via LeMat-Bulk. Energies are from PBE.

The structure in POSCAR format:
```
TlCuAs2
1.0
7.7572 0.0000 0.0000
0.0000 3.9318 0.0000
-1.7256 0.0000 6.1573
Tl Cu As
2 2 4
direct
0.0000 0.0000 0.0000
0.5000 0.5000 0.0000
0.2001 0.5000 0.4507
0.7001 0.0000 0.4507
0.2473 0.0000 0.6901
0.3656 0.0000 0.3674
0.7473 0.5000 0.6901
0.8656 0.5000 0.3674
```

Output
Raw total energy   -3.836 eV per atom
SG   No. 8
E_form   104 meV/atom
E above lowest polymorph   75 meV per atom
Magnetization   0.00 μB per cell

=====

Here is a relaxed Tl2CuAs2 crystal from Alexandria via LeMat-Bulk. Energies are from PBE.

The structure in POSCAR format:
```
Tl2CuAs2
1.0
6.4007 0.0000 0.0000
0.0000 6.4007 0.0000
0.0000 0.0000 5.8337
Tl Cu As
4 2 4
direct
0.1862 0.3138 0.0000
0.3138 0.8138 0.0000
0.6862 0.1862 0.0000
0.8138 0.6862 0.0000
0.0000 0.0000 0.5000
0.5000 0.5000 0.5000
0.1379 0.6379 0.5000
0.3621 0.1379 0.5000
0.6379 0.8621 0.5000
0.8621 0.3621 0.5000
```

Output
Raw total energy   -3.561 eV per atom
SG   No. 127
E_form   65 meV/atom
Magnetization   0.00 μB per cell

=====

Here is a relaxed TlCuAs2 crystal from Alexandria via LeMat-Bulk. Energies are from PBE.

The structure in POSCAR format:
```
TlCuAs2
1.0
3.4228 0.0000 0.0000
0.0000 3.4228 0.0000
0.0000 0.0000 7.3327
Tl Cu As
1 1 2
direct
0.0000 0.0000 0.0000
0.0000 0.0000 0.5000
0.5000 0.5000 0.3335
0.5000 0.5000 0.6665
```

Output
Raw total energy   -3.774 eV per atom
SG   No. 123
E_form   167 meV/atom
E above lowest polymorph   138 meV per atom
Magnetization   0.00 μB per cell

=====

Here is a relaxed TlCu2As crystal from Alexandria via LeMat-Bulk. Energies are from PBE.

The structure in POSCAR format:
```
TlCu2As
1.0
7.3049 0.0000 0.0000
0.0000 4.1686 0.0000
-0.7281 0.0000 5.7870
Tl Cu As
2 4 2
direct
0.0000 0.0000 0.0000
0.5000 0.5000 0.0000
0.0788 0.5000 0.4653
0.4088 0.5000 0.4594
0.5788 0.0000 0.4653
0.9088 0.0000 0.4594
0.2585 0.0000 0.5777
0.7585 0.5000 0.5777
```

Output
Raw total energy   -3.705 eV per atom
SG   No. 8
E_form   97 meV/atom
Magnetization   0.00 μB per cell

=====

Here is a relaxed TlCuAs2 crystal from Alexandria via LeMat-Bulk. Energies are from PBE.

The structure in POSCAR format:
```
TlCuAs2
1.0
3.0117 0.0000 0.0000
0.0000 5.4569 0.0000
0.0000 0.0000 10.1004
Tl Cu As
2 2 4
direct
0.0000 0.0000 0.0000
0.5000 0.5000 0.5000
0.0000 0.0000 0.5000
0.5000 0.5000 0.0000
0.0000 0.5000 0.1996
0.0000 0.5000 0.8004
0.5000 0.0000 0.3004
0.5000 0.0000 0.6996
```

Output
Raw total energy   -3.685 eV per atom
SG   No. 71
E_form   256 meV/atom
E above lowest polymorph   227 meV per atom
Magnetization   0.00 μB per cell

=====

Here is a relaxed TlCuAs2 crystal from Alexandria via LeMat-Bulk. Energies are from PBE.

The structure in POSCAR format:
```
TlCuAs2
1.0
5.0363 0.0000 0.0000
0.0000 5.0363 0.0000
0.0000 0.0000 15.6717
Tl Cu As
4 4 8
direct
0.0000 0.0000 0.0000
0.0000 0.5000 0.2500
0.5000 0.0000 0.7500
0.5000 0.5000 0.5000
0.0000 0.0000 0.5000
0.0000 0.5000 0.7500
0.5000 0.0000 0.2500
0.5000 0.5000 0.0000
0.1216 0.2500 0.6250
0.2500 0.6216 0.8750
0.2500 0.8784 0.3750
0.3784 0.2500 0.1250
0.6216 0.7500 0.1250
0.7500 0.1216 0.3750
0.7500 0.3784 0.8750
0.8784 0.7500 0.6250
```

Output
Raw total energy   -3.777 eV per atom
SG   No. 122
E_form   164 meV/atom
E above lowest polymorph   134 meV per atom
Magnetization   0.00 μB per cell

=====

Here is a relaxed TlCuAs2 crystal from Alexandria via LeMat-Bulk. Energies are from PBE.

The structure in POSCAR format:
```
TlCuAs2
1.0
4.4741 0.0000 0.0000
0.0000 4.4741 0.0000
0.0000 0.0000 8.0993
Tl Cu As
2 2 4
direct
0.0000 0.0000 0.0000
0.5000 0.5000 0.5000
0.0000 0.5000 0.2500
0.5000 0.0000 0.7500
0.0000 0.0000 0.5000
0.0000 0.5000 0.7500
0.5000 0.0000 0.2500
0.5000 0.5000 0.0000
```

Output
Raw total energy   -3.483 eV per atom
SG   No. 119
E_form   458 meV/atom
E above lowest polymorph   429 meV per atom
Magnetization   0.00 μB per cell

=====

Here is a relaxed TlCuAs2 crystal from Alexandria via LeMat-Bulk. Energies are from PBE.

The structure in POSCAR format:
```
TlCuAs2
1.0
7.6669 0.0000 0.0000
0.0000 3.7621 0.0000
-1.6344 0.0000 6.3091
Tl Cu As
2 2 4
direct
0.0000 0.0000 0.0000
0.5000 0.5000 0.0000
0.0000 0.5000 0.5000
0.5000 0.0000 0.5000
0.2437 0.0000 0.6481
0.2563 0.5000 0.3519
0.7437 0.5000 0.6481
0.7563 0.0000 0.3519
```

Output
Raw total energy   -3.844 eV per atom
SG   No. 12
E_form   96 meV/atom
E above lowest polymorph   67 meV per atom
Magnetization   0.00 μB per cell

=====

Here is a relaxed TlCu2As crystal from Alexandria via LeMat-Bulk. Energies are from PBE.

The structure in POSCAR format:
```
TlCu2As
1.0
4.9883 0.0000 0.0000
0.0000 4.9883 0.0000
0.0000 0.0000 14.9395
Tl Cu As
4 8 4
direct
0.0000 0.0000 0.0000
0.0000 0.5000 0.2500
0.5000 0.0000 0.7500
0.5000 0.5000 0.5000
0.1065 0.2500 0.6250
0.2500 0.6065 0.8750
0.2500 0.8935 0.3750
0.3935 0.2500 0.1250
0.6065 0.7500 0.1250
0.7500 0.1065 0.3750
0.7500 0.3935 0.8750
0.8935 0.7500 0.6250
0.0000 0.0000 0.5000
0.0000 0.5000 0.7500
0.5000 0.0000 0.2500
0.5000 0.5000 0.0000
```

Output
Raw total energy   -3.635 eV per atom
SG   No. 122
E_form   167 meV/atom
Magnetization   0.00 μB per cell